1.
Entry from Alexandria: crystalline Sr2Li3Mg12Al at its relaxed geometry (GGA-PBE).

Unit cell a=6.2279 b=6.2279 c=44.2843 alpha=90.00 beta=90.00 gamma=120.00
Last column: nearest neighbours and their distance in Å.
Space group R-3m (No. 166, hexagonal axes)
Asymmetric unit:
Sr: 0.0000 0.0000 0.1487 [6 per cell]  9 Mg 3.53-3.72, 3 Al 3.68, 3 Sr 3.93
Li: 0.0000 0.5000 0.0000 [9 per cell]  4 Mg 3.00, 4 Li 3.11
Mg: 0.0016 0.5008 0.1111 [18 per cell]  1 Al 3.04, 6 Mg 3.10-3.13
Mg: 0.0087 0.5043 0.6129 [18 per cell]  2 Li 3.00, 6 Mg 3.03-3.20
Al: 0.0000 0.0000 0.5000 [3 per cell]  6 Mg 3.04

The value obtained for the formation energy is 2.2 eV per formula unit.

2.
Entry from Alexandria: crystalline TaNi2Pt4 at its relaxed geometry (GGA-PBE).

Unit cell a=4.8303 b=8.8768 c=4.9544 alpha=90.00 beta=98.23 gamma=90.00
Last column: nearest neighbours and their distance in Å.
Space group P2_1/c (No. 14)
Asymmetric unit:
Ta: 0.0000 0.0000 0.0000 [2 per cell]  2 Ni 2.49, 4 Pt 2.74-2.76
Ni: 0.3717 0.0917 0.3647 [4 per cell]  1 Ni 2.35, 5 Pt 2.43-2.57, 1 Ta 2.49
Pt: 0.0864 0.6609 0.9816 [4 per cell]  3 Ni 2.52-2.74, 1 Ta 2.76, 1 Pt 2.78
Pt: 0.4728 0.1398 0.8769 [4 per cell]  4 Ni 2.43-2.57

The value obtained for the formation energy is -1.6 eV per formula unit.

3.
Entry from Alexandria: crystalline LaPmSnPt at its relaxed geometry (GGA-PBE).

Unit cell a=7.5573 b=7.5573 c=7.5573 alpha=90.00 beta=90.00 gamma=90.00
Last column: nearest neighbours and their distance in Å.
Space group F-43m (No. 216)
Asymmetric unit:
La: 0.0000 0.0000 0.0000 [4 per cell]  4 Sn 3.27, 4 Pt 3.27
Pm: 0.0000 0.0000 0.5000 [4 per cell]  4 Pt 3.27, 4 Sn 3.27
Sn: 0.2500 0.2500 0.7500 [4 per cell]  4 La 3.27, 4 Pm 3.27
Pt: 0.2500 0.2500 0.2500 [4 per cell]  4 La 3.27, 4 Pm 3.27

The value obtained for the formation energy is -3.2 eV per formula unit.

4.
Entry from Alexandria: crystalline YSb2TeOs at its relaxed geometry (GGA-PBE).

Unit cell a=5.0275 b=5.0275 c=5.7740 alpha=90.00 beta=90.00 gamma=90.00
Last column: nearest neighbours and their distance in Å.
Space group P4/mmm (No. 123)
Asymmetric unit:
Y: 0.0000 0.0000 0.0000 [1 per cell]  4 Te 3.55, 8 Sb 3.83
Sb: 0.0000 0.5000 0.5000 [2 per cell]  2 Os 2.51
Te: 0.5000 0.5000 0.0000 [1 per cell]  2 Os 2.89
Os: 0.5000 0.5000 0.5000 [1 per cell]  4 Sb 2.51

As for the formation energy from raw total energies: 6.2 kcal/mol of atoms.

5.
Entry from Alexandria: crystalline Pm2Sc2Sn7 at its relaxed geometry (GGA-PBE).

Unit cell a=9.6413 b=11.0153 c=6.2640 alpha=90.00 beta=90.00 gamma=90.00
Last column: nearest neighbours and their distance in Å.
Space group Cmmm (No. 65)
Asymmetric unit:
Pm: 0.1870 0.0000 0.0000 [4 per cell]  6 Sn 3.19-3.37
Sc: 0.0000 0.2578 0.5000 [4 per cell]  7 Sn 2.84-3.13
Sn: 0.0000 0.0000 0.5000 [2 per cell]  2 Sc 2.84
Sn: 0.0000 0.5000 0.2395 [4 per cell]  2 Sn 3.00-3.26, 2 Sc 3.13
Sn: 0.2500 0.2500 0.2371 [8 per cell]  2 Sc 2.92, 1 Sn 2.97, 2 Pm 3.19

The value obtained for the formation energy is -2.1 eV per formula unit.

6.
Entry from Alexandria: crystalline Na2Hg2F7 at its relaxed geometry (GGA-PBE).

Unit cell a=7.1403 b=10.6032 c=5.5507 alpha=90.00 beta=100.69 gamma=90.00
Last column: nearest neighbours and their distance in Å.
Space group C2/m (No. 12)
Asymmetric unit:
Na: 0.0000 0.1907 0.0000 [4 per cell]  6 F 2.30-2.45
Hg: 0.2445 0.0000 0.6639 [4 per cell]  4 F 2.12-2.26
F: 0.0000 0.5000 0.5000 [2 per cell]  2 Hg 2.18
F: 0.0537 0.0000 0.2514 [4 per cell]  2 Hg 2.26-2.44, 2 Na 2.45
F: 0.2406 0.3089 0.2246 [8 per cell]  1 Hg 2.12, 1 Na 2.30

As for the formation energy from raw total energies: -40.7 kcal/mol of atoms.

What did the second record say?
Entry from Alexandria: crystalline TaNi2Pt4 at its relaxed geometry (GGA-PBE).

Unit cell a=4.8303 b=8.8768 c=4.9544 alpha=90.00 beta=98.23 gamma=90.00
Last column: nearest neighbours and their distance in Å.
Space group P2_1/c (No. 14)
Asymmetric unit:
Ta: 0.0000 0.0000 0.0000 [2 per cell]  2 Ni 2.49, 4 Pt 2.74-2.76
Ni: 0.3717 0.0917 0.3647 [4 per cell]  1 Ni 2.35, 5 Pt 2.43-2.57, 1 Ta 2.49
Pt: 0.0864 0.6609 0.9816 [4 per cell]  3 Ni 2.52-2.74, 1 Ta 2.76, 1 Pt 2.78
Pt: 0.4728 0.1398 0.8769 [4 per cell]  4 Ni 2.43-2.57

The value obtained for the formation energy is -1.6 eV per formula unit.

> What is the formula in the first record?

Sr2Li3Mg12Al